Here is a relaxed structure of Ho2Zn5Si from the Alexandria database. Energies are from PBE.

The structure in POSCAR format:
```
Ho2Zn5Si
1.0
2.125 -7.851 0.000
2.125 7.851 0.000
0.000 0.000 8.759
Ho Zn Si
4 10 2
direct
0.000 0.000 0.000
0.000 0.000 0.500
0.198 0.802 0.750
0.802 0.198 0.250
0.189 0.811 0.106
0.189 0.811 0.394
0.352 0.648 0.026
0.352 0.648 0.474
0.400 0.600 0.750
0.600 0.400 0.250
0.648 0.352 0.526
0.648 0.352 0.974
0.811 0.189 0.606
0.811 0.189 0.894
0.447 0.553 0.250
0.553 0.447 0.750
```

Calculated values
Space-group type: Cmcm
Final energy in eV per atom: -3.05
V in Å³/atom: 18.27